# 1
# LiGa2Pt

A relaxed structure of LiGa2Pt (PBE, the Open Quantum Materials Database).

Lattice parameters (Å, degrees): 5.1543 7.2562 7.2333 90.00 90.00 90.00
Fractional positions:
Ga 0.9060 0.0530 0.1763
Ga 0.9060 0.4470 0.1763
Ga 0.4060 0.5530 0.3237
Ga 0.4060 0.9470 0.3237
Ga 0.5940 0.0530 0.6763
Ga 0.5940 0.4470 0.6763
Ga 0.0940 0.5530 0.8237
Ga 0.0940 0.9470 0.8237
Li 0.3926 0.2500 0.0348
Li 0.8926 0.7500 0.4652
Li 0.1074 0.2500 0.5348
Li 0.6074 0.7500 0.9652
Pt 0.1216 0.7500 0.1198
Pt 0.6216 0.2500 0.3802
Pt 0.3784 0.7500 0.6198
Pt 0.8784 0.2500 0.8802

Values from the calculation:
* calculated volume: 270.5 Å³/cell
* energy: -4.08 eV/atom

# 2
# LiGa2Pt

A relaxed structure of LiGa2Pt (PBE, the Open Quantum Materials Database).

Lattice parameters (Å, degrees): 4.3468 6.1484 13.1018 90.00 90.00 90.00
Fractional positions:
Ga 0.5000 0.2494 0.0000
Ga 0.5000 0.7506 0.0000
Ga 0.9996 0.2506 0.1667
Ga 0.9996 0.7494 0.1667
Ga 0.4996 0.2494 0.3333
Ga 0.4996 0.7506 0.3333
Ga 0.0000 0.2506 0.5000
Ga 0.0000 0.7494 0.5000
Ga 0.5004 0.2494 0.6667
Ga 0.5004 0.7506 0.6667
Ga 0.0004 0.2506 0.8333
Ga 0.0004 0.7494 0.8333
Li 0.0000 0.0000 0.0000
Li 0.4994 0.5000 0.1667
Li 0.9994 0.0000 0.3333
Li 0.5000 0.5000 0.5000
Li 0.0006 0.0000 0.6667
Li 0.5006 0.5000 0.8333
Pt 0.0000 0.5000 0.0000
Pt 0.4996 0.0000 0.1667
Pt 0.9996 0.5000 0.3333
Pt 0.5000 0.0000 0.5000
Pt 0.0004 0.5000 0.6667
Pt 0.5004 0.0000 0.8333

Values from the calculation:
* calculated volume: 350.2 Å³/cell
* energy: -4.13 eV/atom

# 3
# LiGa2Pt

A relaxed structure of LiGa2Pt (PBE, the Open Quantum Materials Database).

Lattice parameters (Å, degrees): 6.1377 4.3535 8.7083 90.00 90.00 90.00
Fractional positions:
Ga 0.4999 0.7500 0.1259
Ga 0.0000 0.7500 0.1261
Ga 0.5000 0.2500 0.3739
Ga 0.9999 0.2500 0.3741
Ga 0.0001 0.7500 0.6259
Ga 0.5000 0.7500 0.6261
Ga 0.0000 0.2500 0.8739
Ga 0.5001 0.2500 0.8741
Li 0.2497 0.2500 0.1230
Li 0.7497 0.7500 0.3770
Li 0.2503 0.2500 0.6230
Li 0.7503 0.7500 0.8770
Pt 0.7501 0.2500 0.1239
Pt 0.2501 0.7500 0.3761
Pt 0.7499 0.2500 0.6239
Pt 0.2499 0.7500 0.8761

Values from the calculation:
* calculated volume: 232.7 Å³/cell
* energy: -4.13 eV/atom

| no. | E above lowest polymorph (meV/atom) |
| --- | --- |
| 1 | 44 |
| 2 | 0 |
| 3 | 1 |